Compound: MgSc6Pd5
Source: the Alexandria database
Functional: PBE-GGA
Structure: optimized geometry

Summary:
- density (g/cm3) = 6.105
- magnetic moment (μB per formula unit) = 0.00
- calculated formation energy (eV per atom) = -0.75

a = 4.717 Å, b = 6.715 Å, c = 8.195 Å
α = 114.19°, β = 106.73°, γ = 90.00°
Fractional coordinates of all 12 atoms:
1 Pd 0.654 0.154 0.308
2 Pd 0.328 0.328 0.656
3 Pd 0.672 0.672 0.344
4 Pd 0.000 0.500 0.000
5 Pd 0.346 0.846 0.692
6 Sc 0.829 0.571 0.657
7 Sc 0.171 0.429 0.343
8 Sc 0.500 0.735 0.000
9 Sc 0.500 0.265 0.000
10 Sc 0.171 0.914 0.343
11 Sc 0.829 0.086 0.657
12 Mg 0.000 0.000 0.000

---

Compound: Mg5Sc4Pd2
Source: the Alexandria database
Functional: PBE-GGA
Structure: optimized geometry

Summary:
- density (g/cm3) = 3.490
- magnetic moment (μB per formula unit) = 0.00
- calculated formation energy (eV per atom) = -0.33

a = 3.316 Å, b = 7.701 Å, c = 9.593 Å
α = 92.94°, β = 90.00°, γ = 90.00°
Fractional coordinates of all 11 atoms:
1 Mg 0.000 0.818 0.849
2 Mg 0.000 0.453 0.671
3 Mg 0.000 0.500 0.000
4 Mg 0.000 0.182 0.151
5 Mg 0.000 0.547 0.329
6 Pd 0.000 0.928 0.356
7 Pd 0.000 0.072 0.644
8 Sc 0.500 0.832 0.143
9 Sc 0.500 0.209 0.444
10 Sc 0.500 0.791 0.556
11 Sc 0.500 0.168 0.857

---

Compound: MgSc2Pd9
Source: the Alexandria database
Functional: PBE-GGA
Structure: optimized geometry

Summary:
- density (g/cm3) = 9.300
- magnetic moment (μB per formula unit) = 0.00
- calculated formation energy (eV per atom) = -0.72

a = 3.996 Å, b = 3.996 Å, c = 11.988 Å
α = 90.00°, β = 90.00°, γ = 90.00°
Fractional coordinates of all 12 atoms:
1 Pd 0.500 0.500 0.334
2 Pd 0.000 0.500 0.835
3 Pd 0.500 0.500 0.666
4 Pd 0.500 0.000 0.165
5 Pd 0.500 0.500 0.000
6 Pd 0.500 0.000 0.835
7 Pd 0.000 0.500 0.500
8 Pd 0.500 0.000 0.500
9 Pd 0.000 0.500 0.165
10 Sc 0.000 0.000 0.670
11 Sc 0.000 0.000 0.330
12 Mg 0.000 0.000 0.000

---

Compound: MgSc5Pd
Source: the Alexandria database
Functional: PBE-GGA
Structure: optimized geometry

Summary:
- density (g/cm3) = 3.722
- magnetic moment (μB per formula unit) = 0.00
- calculated formation energy (eV per atom) = -0.19

a = 6.106 Å, b = 5.856 Å, c = 9.072 Å
α = 85.28°, β = 80.78°, γ = 95.35°
Fractional coordinates of all 14 atoms:
1 Pd 0.000 0.000 0.000
2 Pd 0.000 0.000 0.500
3 Sc 0.751 0.587 0.556
4 Sc 0.207 0.882 0.256
5 Sc 0.303 0.277 0.788
6 Sc 0.249 0.413 0.444
7 Sc 0.943 0.624 0.856
8 Sc 0.057 0.376 0.144
9 Sc 0.435 0.751 0.936
10 Sc 0.793 0.118 0.744
11 Sc 0.565 0.249 0.064
12 Sc 0.697 0.723 0.212
13 Mg 0.338 0.842 0.609
14 Mg 0.662 0.158 0.391